CsAgSeN2: single point on PBEsol structure, SCAN.

Computed properties:
Its energy relative to the elements, uncorrected is 2359 meV per atom. As for the energy: -96.04 eV per cell.

CIF file:
```
data_CsAgSeN2
_cell_length_a 4.257
_cell_length_b 4.257
_cell_length_c 6.784
_cell_angle_alpha 90.00
_cell_angle_beta 90.00
_cell_angle_gamma 90.00
_symmetry_space_group_name_H-M 'P 4/m m m'
_symmetry_Int_Tables_number 123
_symmetry_space_group_name_Hall '-P 4 2'
loop_
_atom_site_label
_atom_site_type_symbol
_atom_site_fract_x
_atom_site_fract_y
_atom_site_fract_z
_atom_site_occupancy
Cs1 Cs 0.000 0.000 0.000 1
Ag1 Ag 0.500 0.500 0.500 1
Se1 Se 0.000 0.000 0.500 1
N1 N 0.000 0.500 0.000 1
```